(1)
Here is crystalline LiCa3P at its relaxed geometry from the Alexandria database. Energies are from PBE.

Cell lengths 7.299, 10.675, 7.687 Å; angles 90.00, 90.00, 90.00 degrees
Space group Pnma (No. 62)
Asymmetric unit:
1 Li 0.000 0.000 0.000 (multiplicity 4)
2 Ca 0.086 0.250 0.226 (multiplicity 4)
3 Ca 0.152 0.090 0.668 (multiplicity 8)
4 P 0.150 0.750 0.437 (multiplicity 4)

---

(2)
Here is crystalline LiCa3P at its relaxed geometry from the Alexandria database. Energies are from PBE.

Cell lengths 7.001, 7.393, 7.396 Å; angles 115.41, 103.94, 103.98 degrees
Space group P1 (No. 1)
Asymmetric unit:
1 Li 0.000 0.000 0.000 (multiplicity 1)
2 Li 0.497 0.513 0.481 (multiplicity 1)
3 Ca 0.375 0.475 0.012 (multiplicity 1)
4 Ca 0.457 0.035 0.376 (multiplicity 1)
5 Ca 0.468 0.939 0.840 (multiplicity 1)
6 Ca 0.875 0.529 0.959 (multiplicity 1)
7 Ca 0.956 0.891 0.520 (multiplicity 1)
8 Ca 0.967 0.356 0.425 (multiplicity 1)
9 P 0.229 0.661 0.364 (multiplicity 1)
10 P 0.730 0.881 0.146 (multiplicity 1)

---

(3)
Here is crystalline LiCaP3 at its relaxed geometry from the Alexandria database. Energies are from PBE.

Cell lengths 4.510, 4.510, 4.510 Å; angles 90.00, 90.00, 90.00 degrees
Space group Pm-3m (No. 221)
Asymmetric unit:
1 Li 0.000 0.000 0.000 (multiplicity 1)
2 Ca 0.500 0.500 0.500 (multiplicity 1)
3 P 0.000 0.000 0.500 (multiplicity 3)

---

(4)
Here is crystalline LiCa3P at its relaxed geometry from the Alexandria database. Energies are from PBE.

Cell lengths 3.994, 7.444, 10.215 Å; angles 88.80, 89.45, 74.98 degrees
Space group P-1 (No. 2)
Asymmetric unit:
1 Li 0.027 0.467 0.359 (multiplicity 2)
2 Ca 0.182 0.137 0.822 (multiplicity 2)
3 Ca 0.351 0.795 0.495 (multiplicity 2)
4 Ca 0.402 0.665 0.855 (multiplicity 2)
5 P 0.196 0.119 0.306 (multiplicity 2)

---

(5)
Here is crystalline LiCa3P at its relaxed geometry from the Alexandria database. Energies are from PBE.

Cell lengths 5.584, 5.584, 5.584 Å; angles 90.00, 90.00, 90.00 degrees
Space group Pm-3m (No. 221)
Asymmetric unit:
1 Li 0.000 0.000 0.000 (multiplicity 1)
2 Ca 0.000 0.500 0.500 (multiplicity 3)
3 P 0.500 0.500 0.500 (multiplicity 1)

---

(6)
Here is crystalline LiCa3P at its relaxed geometry from the Alexandria database. Energies are from PBE.

Cell lengths 4.5904, 4.5904, 18.5494 Å; angles 90.00, 90.00, 120.00 degrees
Space group P6_3/mmc (No. 194)
Asymmetric unit:
1 Li 0.3333 0.6667 0.2500 (multiplicity 2)
2 Ca 0.0000 0.0000 0.2500 (multiplicity 2)
3 Ca 0.3333 0.6667 0.0708 (multiplicity 4)
4 P 0.0000 0.0000 0.0000 (multiplicity 2)

---

Number 1: calculated volume 599 Å³ per cell, ΔH_f (0 K) -0.304 eV per atom. Number 2: calculated volume 309 Å³ per cell, ΔH_f (0 K) -0.502 eV per atom. Number 3: calculated volume 92 Å³ per cell, ΔH_f (0 K) 0.062 eV per atom. Number 4: calculated volume 293 Å³ per cell, ΔH_f (0 K) -0.513 eV per atom. Number 5: calculated volume 174 Å³ per cell, ΔH_f (0 K) -0.471 eV per atom. Number 6: calculated volume 339 Å³ per cell, ΔH_f (0 K) -0.182 eV per atom.